1.
VASP calculation (GGA-PBE) on Co4BMo2 after structural relaxation.

It has space group I4/mmm (No. 139), with a = 3.667 Å, b = 3.667 Å, c = 12.622 Å, α = 90.00°, β = 90.00° and γ = 90.00°. The asymmetric unit holds Co at (0.000, 0.000, 0.152), Co at (0.000, 0.500, 0.000), B at (0.000, 0.000, 0.000) and Mo at (0.000, 0.000, 0.333).

Its formation energy from the elements is 2.25 eV/f.u.

=====

2.
VASP calculation (GGA-PBE) on YTl2Pb after structural relaxation.

It has space group C2/m (No. 12), with a = 6.576 Å, b = 11.726 Å, c = 3.668 Å, α = 90.00°, β = 123.49° and γ = 90.00°. The asymmetric unit holds Y at (0.000, 0.000, 0.000), Tl at (0.250, 0.250, 0.500) and Pb at (0.000, 0.500, 0.000).

Its formation energy from the elements is -0.67 eV/f.u.